A.
Material: ZrPdS2N
Method: DFT, PBE
State: optimized geometry

Summary:
Mass density = 4.43 Mg/m³
Magnetization = 0.00 μB per formula unit
D(E_F) = 8.35 states/eV per cell

Unit cell a=5.036 b=5.036 c=4.075 alpha=90.00 beta=90.00 gamma=90.00
Space group P4/mmm (No. 123)
Inequivalent atoms, fractional coordinates:
Zr 0.000 0.000 0.000 x1
Pd 0.500 0.500 0.500 x1
S 0.000 0.500 0.000 x2
N 0.000 0.000 0.500 x1



B.
Material: ZrPdS2N
Method: DFT, PBE
State: optimized geometry

Summary:
Mass density = 5.35 Mg/m³
Magnetization = 0.00 μB per formula unit
D(E_F) = 3.82 states/eV per cell

Unit cell a=4.760 b=4.760 c=3.774 alpha=90.00 beta=90.00 gamma=90.00
Space group P4/mmm (No. 123)
Inequivalent atoms, fractional coordinates:
Zr 0.000 0.000 0.000 x1
Pd 0.500 0.500 0.500 x1
S 0.000 0.500 0.500 x2
N 0.500 0.500 0.000 x1



Q: Which of them is the least stable? A: B.



A.
Material: ZrPdSN2
Method: DFT, PBE
State: optimized geometry

Summary:
Mass density = 5.97 Mg/m³
Magnetization = 0.00 μB per formula unit
D(E_F) = 3.65 states/eV per cell

Unit cell a=3.974 b=3.974 c=4.537 alpha=90.00 beta=90.00 gamma=90.00
Space group P4/mmm (No. 123)
Inequivalent atoms, fractional coordinates:
Zr 0.000 0.000 0.000 x1
Pd 0.500 0.500 0.500 x1
S 0.500 0.500 0.000 x1
N 0.000 0.500 0.500 x2



B.
Material: ZrPdSN2
Method: DFT, PBE
State: optimized geometry

Summary:
Mass density = 4.78 Mg/m³
Magnetization = 1.86 μB per formula unit
D(E_F) = 5.48 states/eV per cell

Unit cell a=4.127 b=4.127 c=5.262 alpha=90.00 beta=90.00 gamma=90.00
Space group P4/mmm (No. 123)
Inequivalent atoms, fractional coordinates:
Zr 0.000 0.000 0.000 x1
Pd 0.500 0.500 0.500 x1
S 0.000 0.000 0.500 x1
N 0.000 0.500 0.000 x2



Q: Which of them is the least stable? A: A.



A.
Material: SbPdSeN2
Method: DFT, PBE
State: optimized geometry

Summary:
Mass density = 6.14 Mg/m³
Magnetization = 1.99 μB per formula unit
D(E_F) = 5.04 states/eV per cell

Unit cell a=3.968 b=3.968 c=5.756 alpha=90.00 beta=90.00 gamma=90.00
Space group P4/mmm (No. 123)
Inequivalent atoms, fractional coordinates:
Sb 0.000 0.000 0.000 x1
Pd 0.500 0.500 0.500 x1
Se 0.000 0.000 0.500 x1
N 0.000 0.500 0.000 x2



B.
Material: SbPdSeN2
Method: DFT, PBE
State: optimized geometry

Summary:
Mass density = 6.33 Mg/m³
Magnetization = 2.54 μB per formula unit
D(E_F) = 2.50 states/eV per cell

Unit cell a=4.079 b=4.079 c=5.284 alpha=90.00 beta=90.00 gamma=90.00
Space group P4/mmm (No. 123)
Inequivalent atoms, fractional coordinates:
Sb 0.000 0.000 0.000 x1
Pd 0.500 0.500 0.500 x1
Se 0.500 0.500 0.000 x1
N 0.000 0.500 0.500 x2



Q: Which of them is the least stable? A: A.



A.
Material: ScPd3N
Method: DFT, PBE
State: optimized geometry

Summary:
Mass density = 5.56 Mg/m³
Magnetization = 2.09 μB per formula unit
D(E_F) = 1.16 states/eV per cell

Unit cell a=4.834 b=4.834 c=4.834 alpha=90.00 beta=90.00 gamma=90.00
Space group Pm-3m (No. 221)
Inequivalent atoms, fractional coordinates:
Sc 0.000 0.000 0.000 x1
Pd 0.000 0.000 0.500 x3
N 0.500 0.500 0.500 x1



B.
Material: ScPd3N
Method: DFT, PBE
State: optimized geometry

Summary:
Mass density = 8.39 Mg/m³
Magnetization = 0.00 μB per formula unit
D(E_F) = 1.05 states/eV per cell

Unit cell a=4.215 b=4.215 c=4.215 alpha=90.00 beta=90.00 gamma=90.00
Space group Pm-3m (No. 221)
Inequivalent atoms, fractional coordinates:
Sc 0.000 0.000 0.000 x1
Pd 0.000 0.500 0.500 x3
N 0.500 0.500 0.500 x1



Q: Which of them is the least stable? A: A.